DFT (GGA-PBE) results for a geometry-optimized YS2 structure. Values from VASP.

The space-group type is Pbcm (57). The value obtained for the raw formation energy is -4.995 eV per formula unit. The calculation puts the density of states at the Fermi level at 6.508 states/eV per cell. For the magnetic moment, the calculation gives 0.0 μB/f.u.

```
&SYSTEM
  ibrav = 0, nat = 12, ntyp = 2
/
ATOMIC_SPECIES
Y 88.91 Y.upf
S 32.06 S.upf
ATOMIC_POSITIONS angstrom
Y 1.711 0.364 1.267
Y 1.711 3.356 3.802
Y 5.285 4.084 1.267
Y 5.285 7.075 3.802
S 0.749 0.784 3.802
S 0.749 2.936 1.267
S 3.070 5.580 0.000
S 3.070 5.580 2.534
S 3.926 1.860 0.000
S 3.926 1.860 2.534
S 6.247 4.504 3.802
S 6.247 6.655 1.267
CELL_PARAMETERS angstrom
6.996 0.000 0.000
0.000 7.439 0.000
0.000 0.000 5.069
```

DFT (GGA-PBE) results for a geometry-optimized YS2 structure. Values from VASP.

The space-group type is Fd-3m (227). The value obtained for the raw formation energy is -0.209 eV per formula unit. The calculation puts the density of states at the Fermi level at 5.027 states/eV per cell. For the magnetic moment, the calculation gives 0.7 μB/f.u.

```
&SYSTEM
  ibrav = 0, nat = 6, ntyp = 2
/
ATOMIC_SPECIES
Y 88.91 Y.upf
S 32.06 S.upf
ATOMIC_POSITIONS angstrom
Y 0.978 0.978 0.978
Y 6.848 6.848 6.848
S 3.913 1.957 1.957
S 1.957 3.913 1.957
S 1.957 1.957 3.913
S 3.913 3.913 3.913
CELL_PARAMETERS angstrom
0.000 3.913 3.913
3.913 0.000 3.913
3.913 3.913 0.000
```

DFT (GGA-PBE) results for a geometry-optimized Y3S5 structure. Values from VASP.

The space-group type is P6_3/mcm (193). The value obtained for the raw formation energy is -14.722 eV per formula unit. The calculation puts the density of states at the Fermi level at 2.771 states/eV per cell. For the magnetic moment, the calculation gives 0.0 μB/f.u.

```
&SYSTEM
  ibrav = 0, nat = 16, ntyp = 2
/
ATOMIC_SPECIES
Y 88.91 Y.upf
S 32.06 S.upf
ATOMIC_POSITIONS angstrom
Y -1.519 2.631 1.383
Y -2.662 4.610 4.148
Y 3.038 0.000 1.383
Y 1.519 2.631 4.148
Y 5.324 0.000 4.148
Y 2.662 4.610 1.383
S -1.175 2.034 4.148
S -3.006 5.207 1.383
S 2.349 0.000 4.148
S 1.175 2.034 1.383
S 0.000 4.828 0.000
S 0.000 4.828 2.766
S 4.181 2.414 0.000
S 4.181 2.414 2.766
S 6.013 0.000 1.383
S 3.006 5.207 4.148
CELL_PARAMETERS angstrom
8.362 0.000 0.000
-4.181 7.241 0.000
0.000 0.000 5.531
```

| no. | DFT total energy (eV/cell) |
| --- | --- |
| 1 | -78.86 |
| 2 | -29.86 |
| 3 | -109.50 |